Entry from Alexandria via LeMat-Bulk: YSc3H8 after structural relaxation (PBE-GGA).

a = 4.863 Å, b = 4.863 Å, c = 4.863 Å
α = 90.00°, β = 90.00°, γ = 90.00°
Element x y z (fractional)
Y 0.000 0.000 0.000
Sc 0.500 0.500 0.000
Sc 0.500 0.000 0.500
Sc 0.000 0.500 0.500
H 0.261 0.261 0.739
H 0.261 0.739 0.261
H 0.739 0.261 0.261
H 0.739 0.739 0.739
H 0.739 0.739 0.261
H 0.739 0.261 0.739
H 0.261 0.739 0.739
H 0.261 0.261 0.261

Calculated values
Space-group type   Pm-3m, No. 221
N(E_F)   0.242 states/eV/atom
Calculated total energy   -60.6 eV per cell
Theoretical density   3.348 Mg/m³

Entry from Alexandria via LeMat-Bulk: Pu8P3Se4O after structural relaxation (PBE-GGA).

a = 7.963 Å, b = 8.067 Å, c = 8.000 Å
α = 119.51°, β = 119.85°, γ = 90.00°
Element x y z (fractional)
Pu 0.231 0.722 0.989
Pu 0.240 0.730 0.480
Pu 0.255 0.263 0.510
Pu 0.759 0.722 0.989
Pu 0.241 0.278 0.011
Pu 0.745 0.737 0.490
Pu 0.760 0.270 0.520
Pu 0.769 0.278 0.011
P 0.500 0.500 0.000
P 0.500 0.500 0.500
P 0.000 0.500 0.500
Se 0.500 0.000 0.000
Se 0.500 0.000 0.500
Se 0.000 0.000 0.000
Se 0.000 0.000 0.500
O 0.000 0.500 0.000

Calculated values
Raw formation energy   -1.44 eV per atom
Space-group type   C2/m, No. 12
N(E_F)   4.727 states/eV/atom
Calculated total energy   -172.8 eV per cell
Theoretical density   10.759 Mg/m³

Entry from Alexandria via LeMat-Bulk: CeGdMgZn after structural relaxation (PBE-GGA).

a = 5.265 Å, b = 5.265 Å, c = 5.265 Å
α = 60.00°, β = 60.00°, γ = 60.00°
Element x y z (fractional)
Zn 0.000 0.000 0.000
Gd 0.250 0.250 0.250
Mg 0.500 0.500 0.500
Ce 0.750 0.750 0.750

Calculated values
Space-group type   F-43m, No. 216
Energy of formation   -0.096 eV/atom
N(E_F)   2.221 states/eV/atom
Calculated total energy   -23.3 eV per cell
Theoretical density   6.227 Mg/m³

Entry from Alexandria via LeMat-Bulk: TbPr4Er2Th after structural relaxation (PBE-GGA).

a = 5.138 Å, b = 5.106 Å, c = 11.484 Å
α = 63.61°, β = 90.00°, γ = 90.00°
Element x y z (fractional)
Tb 0.500 0.500 0.000
Pr 0.000 0.753 0.749
Pr 0.000 0.247 0.251
Pr 0.500 0.746 0.253
Pr 0.500 0.254 0.747
Er 0.000 0.000 0.000
Er 0.500 0.000 0.500
Th 0.000 0.500 0.500

Calculated values
Space-group type   P2/m, No. 10
Energy of formation   0.028 eV/atom
N(E_F)   1.483 states/eV/atom
Calculated total energy   -40.1 eV per cell
Theoretical density   7.931 Mg/m³

Entry from Alexandria via LeMat-Bulk: Sm2As4Rh3Au after structural relaxation (PBE-GGA).

a = 4.352 Å, b = 4.352 Å, c = 10.029 Å
α = 90.00°, β = 90.00°, γ = 90.00°
Element x y z (fractional)
Sm 0.500 0.000 0.244
Sm 0.000 0.500 0.756
As 0.500 0.500 0.000
As 0.000 0.000 0.000
As 0.500 0.000 0.644
As 0.000 0.500 0.356
Rh 0.000 0.000 0.500
Rh 0.500 0.000 0.884
Rh 0.000 0.500 0.116
Au 0.500 0.500 0.500

Calculated values
Space-group type   P-4m2, No. 115
Energy of formation   -0.798 eV/atom
N(E_F)   0.496 states/eV/atom
Calculated total energy   -61.3 eV per cell
Theoretical density   9.668 Mg/m³

Entry from Alexandria via LeMat-Bulk: LaVN3 after structural relaxation (PBE-GGA).

a = 7.231 Å, b = 7.231 Å, c = 7.231 Å
α = 60.00°, β = 60.00°, γ = 60.00°
Element x y z (fractional)
V 0.125 0.125 0.125
V 0.625 0.125 0.125
V 0.125 0.625 0.125
V 0.125 0.125 0.625
La 0.625 0.625 0.625
La 0.125 0.625 0.625
La 0.625 0.125 0.625
La 0.625 0.625 0.125
N 0.199 0.801 0.199
N 0.449 0.051 0.449
N 0.449 0.449 0.051
N 0.051 0.449 0.051
N 0.449 0.051 0.051
N 0.199 0.801 0.801
N 0.051 0.449 0.449
N 0.051 0.051 0.449
N 0.801 0.199 0.199
N 0.801 0.199 0.801
N 0.199 0.199 0.801
N 0.801 0.801 0.199

Calculated values
Raw formation energy   -0.34 eV per atom
Space-group type   Fd-3m, No. 227
N(E_F)   0.772 states/eV/atom
Calculated total energy   -162.8 eV per cell
Theoretical density   5.760 Mg/m³

Entry from Alexandria via LeMat-Bulk: K3TaTe6Pb2 after structural relaxation (PBE-GGA).

a = 7.913 Å, b = 7.913 Å, c = 8.446 Å
α = 99.11°, β = 99.11°, γ = 119.88°
Element x y z (fractional)
K 0.177 0.823 0.500
K 0.823 0.177 0.500
K 0.500 0.500 0.500
Ta 0.000 0.000 0.000
Te 0.933 0.637 0.798
Te 0.776 0.776 0.204
Te 0.067 0.363 0.202
Te 0.637 0.933 0.798
Te 0.224 0.224 0.796
Te 0.363 0.067 0.202
Pb 0.335 0.665 0.000
Pb 0.665 0.335 0.000

Calculated values
Raw formation energy   -0.63 eV per atom
Space-group type   C2/m, No. 12
Calculated total energy   -49.0 eV per cell
Theoretical density   5.642 Mg/m³

Entry from Alexandria via LeMat-Bulk: Nd3HoTm6 after structural relaxation (PBE-GGA).

a = 3.505 Å, b = 12.964 Å, c = 14.227 Å
α = 100.16°, β = 90.00°, γ = 90.00°
Element x y z (fractional)
Nd 0.750 0.421 0.902
Nd 0.250 0.579 0.098
Nd 0.750 0.629 0.504
Nd 0.250 0.371 0.496
Nd 0.750 0.074 0.102
Nd 0.250 0.926 0.898
Ho 0.750 0.041 0.720
Ho 0.250 0.959 0.280
Tm 0.750 0.500 0.691
Tm 0.250 0.500 0.309
Tm 0.750 0.807 0.075
Tm 0.250 0.193 0.925
Tm 0.750 0.345 0.123
Tm 0.250 0.655 0.877
Tm 0.750 0.732 0.300
Tm 0.250 0.268 0.700
Tm 0.750 0.118 0.485
Tm 0.250 0.882 0.515
Tm 0.750 0.781 0.713
Tm 0.250 0.219 0.287

Calculated values
Space-group type   P2_1/m, No. 11
Energy above the lowest structure with this stoichiometry   0 meV per atom
Energy of formation   0.069 eV/atom
N(E_F)   1.481 states/eV/atom
Calculated total energy   -90.0 eV per cell
Theoretical density   8.409 Mg/m³

Entry from Alexandria via LeMat-Bulk: TmThSn2 after structural relaxation (PBE-GGA).

a = 3.501 Å, b = 3.501 Å, c = 8.850 Å
α = 90.00°, β = 90.00°, γ = 90.00°
Element x y z (fractional)
Tm 0.500 0.500 0.000
Sn 0.000 0.000 0.761
Sn 0.000 0.000 0.239
Th 0.500 0.500 0.500

Calculated values
Space-group type   P4/mmm, No. 123
Energy above the lowest structure with this stoichiometry   52 meV per atom
Energy of formation   -0.528 eV/atom
N(E_F)   0.773 states/eV/atom
Calculated total energy   -22.0 eV per cell
Theoretical density   9.770 Mg/m³

Entry from Alexandria via LeMat-Bulk: SbP4 after structural relaxation (PBE-GGA).

a = 5.282 Å, b = 5.282 Å, c = 5.282 Å
α = 109.47°, β = 109.47°, γ = 109.47°
Element x y z (fractional)
Sb 0.000 0.000 0.000
P 0.500 0.000 0.000
P 0.500 0.500 0.500
P 0.000 0.500 0.000
P 0.000 0.000 0.500

Calculated values
Raw formation energy   1.08 eV per atom
Space-group type   Im-3m, No. 229
Energy above the lowest structure with this stoichiometry   0 meV per atom
N(E_F)   0.327 states/eV/atom
Calculated total energy   -20.4 eV per cell
Theoretical density   3.596 Mg/m³

Entry from Alexandria via LeMat-Bulk: Ba2Cd6PdPt after structural relaxation (PBE-GGA).

a = 7.471 Å, b = 7.473 Å, c = 7.493 Å
α = 59.97°, β = 59.98°, γ = 89.98°
Element x y z (fractional)
Ba 0.750 0.250 0.500
Ba 0.250 0.750 0.500
Cd 0.249 0.249 0.502
Cd 0.751 0.751 0.000
Cd 0.249 0.751 0.000
Cd 0.751 0.249 0.000
Cd 0.249 0.249 0.000
Cd 0.751 0.751 0.498
Pd 0.000 0.000 0.000
Pt 0.500 0.500 0.000

Calculated values
Space-group type   C2/m, No. 12
Energy of formation   -0.337 eV/atom
N(E_F)   0.602 states/eV/atom
Calculated total energy   -23.9 eV per cell
Theoretical density   7.024 Mg/m³

Entry from Alexandria via LeMat-Bulk: LiNi2Se after structural relaxation (PBE-GGA).

a = 4.374 Å, b = 5.025 Å, c = 2.737 Å
α = 73.92°, β = 90.61°, γ = 115.99°
Element x y z (fractional)
Li 0.500 0.500 0.000
Ni 0.000 0.000 0.000
Ni 0.500 0.000 0.500
Se 0.000 0.500 0.500

Calculated values
Raw formation energy   -0.05 eV per atom
Space-group type   C2/m, No. 12
N(E_F)   0.896 states/eV/atom
Calculated total energy   -17.2 eV per cell
Theoretical density   6.551 Mg/m³